Entry from Alexandria: a relaxed BaNaIn crystal (PBE).

Unit cell a=5.1404 b=4.3256 c=10.9514 alpha=101.39 beta=90.00 gamma=90.00
Sites, in units of the cell vectors:
Ba 0.2500 0.8997 0.7993
Ba 0.7500 0.1003 0.2007
Na 0.7500 0.2931 0.5861
Na 0.2500 0.7069 0.4139
In 0.2500 0.5405 0.0811
In 0.7500 0.4595 0.9189

## Properties
crystal system = orthorhombic
offset from the most stable computed form = 0 meV per atom
formation enthalpy at 0 K = -24.9 kJ per mole of atoms


Entry from Alexandria: a relaxed BaNaIn crystal (PBE).

Unit cell a=5.3099 b=5.3118 c=9.8807 alpha=90.00 beta=89.95 gamma=59.98
Sites, in units of the cell vectors:
Ba 0.0003 0.5000 0.7840
Ba 0.9997 0.5000 0.2160
Na 0.6664 0.1667 0.4412
Na 0.3336 0.8333 0.5588
In 0.6667 0.1667 0.0395
In 0.3333 0.8333 0.9605

## Properties
crystal system = monoclinic
offset from the most stable computed form = 61 meV per atom
formation enthalpy at 0 K = -19.1 kJ per mole of atoms


Entry from Alexandria: a relaxed BaNaIn3 crystal (PBE).

Unit cell a=7.4275 b=7.4296 c=6.6559 alpha=90.00 beta=90.00 gamma=62.80
Sites, in units of the cell vectors:
Ba 0.0137 0.2163 0.0524
Ba 0.5469 0.7494 0.5524
Na 0.8731 0.0757 0.5524
Na 0.6875 0.8900 0.0524
In 0.1150 0.3168 0.5524
In 0.4456 0.6489 0.0524
In 0.4761 0.2872 0.8025
In 0.4761 0.2872 0.3023
In 0.0845 0.6785 0.3025
In 0.0845 0.6785 0.8023

## Properties
crystal system = orthorhombic
offset from the most stable computed form = 0 meV per atom
formation enthalpy at 0 K = -24.5 kJ per mole of atoms